VASP calculation (PBE) on a geometry-optimized TbCe2DyS4 structure.

Cell lengths 6.851, 3.950, 6.934 Å; angles 90.00, 109.22, 90.00 degrees
Space group P2/m (No. 10)
Asymmetric unit:
Tb: 0.000 0.000 0.000
Ce: 0.000 0.500 0.500
Ce: 0.500 0.000 0.500
Dy: 0.500 0.500 0.000
S: 0.247 0.500 0.239
S: 0.255 0.000 0.761

Properties
DFT total energy, eV per atom: -6.7348
Formation energy (no corrections), kJ per mole of atoms: -196